1.
A geometry-optimized Er2AlGe4 structure, computed with GGA-PBE.

Results
* DFT formation energy: -0.4383 eV/atom
* total magnetization: 0.00 μB per formula unit
* electronic total energy: -4.915 eV/atom

Unit cell a=4.0902 b=8.5970 c=8.5970 alpha=28.55 beta=90.00 gamma=90.00
Fractional positions:
Er  0.0000  0.0000  0.0000
Er  0.5000  0.2014  0.2014
Al  0.0000  0.7782  0.7782
Ge  0.0000  0.3635  0.3635
Ge  0.0000  0.6334  0.6334
Ge  0.5000  0.5385  0.5385
Ge  0.5000  0.8666  0.8666



2.
A geometry-optimized Zn2NiPdCl structure, computed with GGA-PBE.

Results
* total magnetization: 1.22 μB per formula unit
* electronic total energy: -2.696 eV/atom

Unit cell a=4.8326 b=4.8326 c=4.7760 alpha=90.00 beta=90.00 gamma=90.00
Fractional positions:
Zn  0.0000  0.5000  0.0000
Zn  0.5000  0.0000  0.0000
Ni  0.0000  0.0000  0.5000
Pd  0.0000  0.0000  0.0000
Cl  0.5000  0.5000  0.5000



3.
A geometry-optimized V2TcAs2 structure, computed with GGA-PBE.

Results
* DFT formation energy: -0.1801 eV/atom
* total magnetization: 0.00 μB per formula unit
* polymorph energy (0 for the lowest one): 0 meV per atom
* electronic total energy: -7.761 eV/atom

Unit cell a=6.7114 b=6.7114 c=3.2324 alpha=90.00 beta=90.00 gamma=90.00
Fractional positions:
V  0.1423  0.3577  0.0000
V  0.3577  0.8577  0.0000
V  0.6423  0.1423  0.0000
V  0.8577  0.6423  0.0000
Tc  0.0000  0.0000  0.5000
Tc  0.5000  0.5000  0.5000
As  0.1529  0.6529  0.5000
As  0.3471  0.1529  0.5000
As  0.6529  0.8471  0.5000
As  0.8471  0.3471  0.5000



4.
A geometry-optimized La2Sm7Ho3 structure, computed with GGA-PBE.

Results
* DFT formation energy: 0.0707 eV/atom
* total magnetization: 0.00 μB per formula unit
* electronic total energy: -4.648 eV/atom

Unit cell a=6.4505 b=3.5703 c=17.7169 alpha=90.00 beta=96.06 gamma=90.00
Fractional positions:
La  0.0597  0.0000  0.1704
La  0.9403  0.0000  0.8296
Sm  0.0000  0.5000  0.5000
Sm  0.2296  0.0000  0.6675
Sm  0.2582  0.0000  0.9971
Sm  0.2772  0.5000  0.3371
Sm  0.7228  0.5000  0.6629
Sm  0.7418  0.0000  0.0029
Sm  0.7704  0.0000  0.3325
Ho  0.4534  0.5000  0.8417
Ho  0.5000  0.0000  0.5000
Ho  0.5466  0.5000  0.1583



5.
A geometry-optimized Li2TlInNi structure, computed with GGA-PBE.

Results
* DFT formation energy: 0.3606 eV/atom
* total magnetization: 0.00 μB per formula unit
* electronic total energy: -2.582 eV/atom

Unit cell a=5.0654 b=5.0654 c=4.7881 alpha=90.00 beta=90.00 gamma=90.00
Fractional positions:
Li  0.0000  0.5000  0.0000
Li  0.5000  0.0000  0.0000
Tl  0.0000  0.0000  0.5000
In  0.5000  0.5000  0.0000
Ni  0.5000  0.5000  0.5000



6.
A geometry-optimized TmSc2TcO structure, computed with GGA-PBE.

Results
* total magnetization: 0.00 μB per formula unit
* electronic total energy: -7.705 eV/atom

Unit cell a=4.2748 b=4.2748 c=4.8466 alpha=90.00 beta=90.00 gamma=90.00
Fractional positions:
Tm  0.0000  0.0000  0.0000
Sc  0.0000  0.5000  0.4807
Sc  0.5000  0.0000  0.4807
Tc  0.5000  0.5000  0.0676
O  0.0000  0.0000  0.5245



7.
A geometry-optimized SrPCl2 structure, computed with GGA-PBE.

Results
* total magnetization: 1.00 μB per formula unit
* polymorph energy (0 for the lowest one): 239 meV per atom
* electronic total energy: -3.529 eV/atom

Unit cell a=7.5217 b=7.5217 c=7.5217 alpha=37.47 beta=37.47 gamma=37.47
Fractional positions:
Sr  0.0000  0.0000  0.0000
P  0.5000  0.5000  0.5000
Cl  0.3807  0.3807  0.3807
Cl  0.6193  0.6193  0.6193



8.
A geometry-optimized BaTl3Ag3 structure, computed with GGA-PBE.

Results
* DFT formation energy: -0.0604 eV/atom
* total magnetization: 0.00 μB per formula unit
* polymorph energy (0 for the lowest one): 0 meV per atom
* electronic total energy: -2.571 eV/atom

Unit cell a=9.6610 b=9.6610 c=4.8762 alpha=90.00 beta=90.00 gamma=120.00
Fractional positions:
Ba  0.3333  0.6667  0.2500
Ba  0.6667  0.3333  0.7500
Tl  0.0683  0.6765  0.7500
Tl  0.3235  0.3918  0.7500
Tl  0.3918  0.0683  0.2500
Tl  0.6082  0.9317  0.7500
Tl  0.6765  0.6082  0.2500
Tl  0.9317  0.3235  0.2500
Ag  0.0352  0.8412  0.2500
Ag  0.1588  0.1940  0.2500
Ag  0.1940  0.0352  0.7500
Ag  0.8060  0.9648  0.2500
Ag  0.8412  0.8060  0.7500
Ag  0.9648  0.1588  0.7500